Pr3TePb (PBE, relaxed); ΔE_f (raw) = -4.1 eV per formula unit; Fermi-level density of states = 5.27 states/eV/f.u.
1.0
4.568 0.000 0.000
0.000 8.720 0.000
0.000 0.000 16.993
Pr Pb Te
12 4 4
direct
0.250 0.362 0.556
0.750 0.138 0.056
0.750 0.840 0.225
0.750 0.638 0.444
0.250 0.660 0.725
0.250 0.862 0.944
0.750 0.515 0.892
0.250 0.485 0.108
0.750 0.340 0.275
0.250 0.985 0.392
0.250 0.160 0.775
0.750 0.015 0.608
0.750 0.883 0.801
0.750 0.383 0.699
0.250 0.117 0.199
0.250 0.617 0.301
0.250 0.281 0.949
0.750 0.719 0.051
0.250 0.781 0.551
0.750 0.219 0.449